1.
DFT (PBE) results for SmZnSi after structural relaxation.

a = 4.1535 Å, b = 4.1535 Å, c = 14.4046 Å
α = 90.00°, β = 90.00°, γ = 90.00°
Space group I-4m2 (No. 119)
Inequivalent atoms, fractional coordinates:
Sm 0.0000 0.0000 0.0000 (multiplicity 2)
Sm 0.0000 0.5000 0.2500 (multiplicity 2)
Zn 0.0000 0.5000 0.6658 (multiplicity 4)
Si 0.0000 0.0000 0.4178 (multiplicity 4)

Calculated values
Energy relative to the elements, uncorrected, eV per atom: -0.620



2.
DFT (PBE) results for Sm2Zr3Si4 after structural relaxation.

a = 7.3926 Å, b = 7.3995 Å, c = 7.1869 Å
α = 90.00°, β = 108.13°, γ = 90.00°
Space group P2_1/c (No. 14)
Inequivalent atoms, fractional coordinates:
Sm 0.1916 0.1715 0.0739 (multiplicity 4)
Zr 0.2534 0.6795 0.2498 (multiplicity 4)
Zr 0.5000 0.0000 0.5000 (multiplicity 2)
Si 0.0821 0.5341 0.8733 (multiplicity 4)
Si 0.4939 0.1220 0.8723 (multiplicity 4)

Calculated values
Energy relative to the elements, uncorrected, eV per atom: -0.865



3.
DFT (PBE) results for SmZrSi2 after structural relaxation.

a = 3.9439 Å, b = 3.9439 Å, c = 20.1207 Å
α = 90.00°, β = 90.00°, γ = 120.00°
Space group R-3m (No. 166, hexagonal axes)
Inequivalent atoms, fractional coordinates:
Sm 0.0000 0.0000 0.0000 (multiplicity 3)
Zr 0.0000 0.0000 0.5000 (multiplicity 3)
Si 0.0000 0.0000 0.2413 (multiplicity 6)

Calculated values
Energy relative to the elements, uncorrected, eV per atom: -0.586
E above lowest polymorph, meV/atom: 186



4.
DFT (PBE) results for SmZrSi4 after structural relaxation.

a = 8.2926 Å, b = 14.4490 Å, c = 3.8390 Å
α = 90.00°, β = 90.00°, γ = 90.00°
Space group Pbam (No. 55)
Inequivalent atoms, fractional coordinates:
Sm 0.1165 0.1379 0.0000 (multiplicity 4)
Zr 0.1333 0.4124 0.0000 (multiplicity 4)
Si 0.0015 0.7038 0.5000 (multiplicity 4)
Si 0.1246 0.5527 0.5000 (multiplicity 4)
Si 0.1271 0.9619 0.5000 (multiplicity 4)
Si 0.2166 0.8020 0.5000 (multiplicity 4)

Calculated values
Energy relative to the elements, uncorrected, eV per atom: -0.457



5.
DFT (PBE) results for Sm5ZrSi4 after structural relaxation.

a = 18.6389 Å, b = 4.1933 Å, c = 7.6362 Å
α = 90.00°, β = 113.43°, γ = 90.00°
Space group C2/m (No. 12)
Inequivalent atoms, fractional coordinates:
Sm 0.0000 0.0000 0.0000 (multiplicity 2)
Sm 0.1643 0.5000 0.3976 (multiplicity 4)
Sm 0.1658 0.5000 0.9125 (multiplicity 4)
Zr 0.0000 0.0000 0.5000 (multiplicity 2)
Si 0.0010 0.5000 0.7346 (multiplicity 4)
Si 0.1789 0.0000 0.6703 (multiplicity 4)

Calculated values
Energy relative to the elements, uncorrected, eV per atom: -0.436



6.
DFT (PBE) results for SmZrSi2 after structural relaxation.

a = 3.8400 Å, b = 4.0670 Å, c = 10.4319 Å
α = 90.00°, β = 90.00°, γ = 90.00°
Space group Amm2 (No. 38)
Inequivalent atoms, fractional coordinates:
Sm 0.0000 0.0000 0.0000 (multiplicity 2)
Zr 0.5000 0.0000 0.7184 (multiplicity 2)
Si 0.0000 0.0000 0.2752 (multiplicity 2)
Si 0.5000 0.0000 0.4280 (multiplicity 2)

Calculated values
Energy relative to the elements, uncorrected, eV per atom: -0.772
E above lowest polymorph, meV/atom: 0



7.
DFT (PBE) results for SiSn3 after structural relaxation.

a = 4.9553 Å, b = 5.0822 Å, c = 5.1147 Å
α = 99.83°, β = 113.65°, γ = 113.83°
Space group P-1 (No. 2)
Inequivalent atoms, fractional coordinates:
Si 0.0000 0.0000 0.0000 (multiplicity 1)
Sn 0.0000 0.5000 0.5000 (multiplicity 1)
Sn 0.4983 0.7538 0.2437 (multiplicity 2)

Calculated values
Energy relative to the elements, uncorrected, eV per atom: 0.297
E above lowest polymorph, meV/atom: 0



8.
DFT (PBE) results for SiSn4 after structural relaxation.

a = 5.2531 Å, b = 5.2531 Å, c = 5.2531 Å
α = 90.00°, β = 90.00°, γ = 90.00°
Space group Pm-3m (No. 221)
Inequivalent atoms, fractional coordinates:
Si 0.0000 0.0000 0.0000 (multiplicity 1)
Sn 0.0000 0.0000 0.5000 (multiplicity 3)
Sn 0.5000 0.5000 0.5000 (multiplicity 1)

Calculated values
Energy relative to the elements, uncorrected, eV per atom: 0.439